1.
# Pm4Pr5Nd3 (PBE-GGA, optimized geometry)
data_Pm4Pr5Nd3
_chemical_formula_sum 'Pm8 Pr10 Nd6'
_cell_length_a 16.514
_cell_length_b 6.127
_cell_length_c 9.503
_cell_angle_alpha 90.00
_cell_angle_beta 115.91
_cell_angle_gamma 90.00
_space_group_name_H-M_alt 'C 1 2/m 1'
_space_group_IT_number 12
loop_
_space_group_symop_operation_xyz
'x,y,z'
'-x,-y,-z'
'-x,y,-z'
'x,-y,z'
'x+1/2,y+1/2,z'
'-x+1/2,-y+1/2,-z'
'-x+1/2,y+1/2,-z'
'x+1/2,-y+1/2,z'
loop_
_atom_site_label
_atom_site_fract_x
_atom_site_fract_y
_atom_site_fract_z
_atom_site_occupancy
Pm1 0.083 0.000 0.442 1
Pm2 0.213 0.000 0.878 1
Pr1 0.000 0.000 0.000 1
Pr2 0.075 0.500 0.699 1
Pr3 0.173 0.500 0.387 1
Nd1 0.000 0.500 0.000 1
Nd2 0.209 0.000 0.226 1
# VASP energy = -109.73 eV per cell
# Energy of formation = 4.49 kcal/mol of atoms
# Theoretical density = 6.59 g cm⁻³
# Relative energy among the computed polymorphs = 183.1 meV/atom

---

2.
# Pm2Pr6Nd5 (PBE-GGA, optimized geometry)
data_Pm2Pr6Nd5
_chemical_formula_sum 'Pm4 Pr12 Nd10'
_cell_length_a 12.003
_cell_length_b 21.124
_cell_length_c 3.698
_cell_angle_alpha 90.00
_cell_angle_beta 90.00
_cell_angle_gamma 90.00
_space_group_name_H-M_alt 'P b a m'
_space_group_IT_number 55
loop_
_space_group_symop_operation_xyz
'x,y,z'
'-x,-y,-z'
'-x,-y,z'
'x,y,-z'
'x+1/2,-y+1/2,-z'
'-x+1/2,y+1/2,z'
'-x+1/2,y+1/2,-z'
'x+1/2,-y+1/2,z'
loop_
_atom_site_label
_atom_site_fract_x
_atom_site_fract_y
_atom_site_fract_z
_atom_site_occupancy
Pm1 0.172 0.214 0.000 1
Pr1 0.062 0.922 0.000 1
Pr2 0.079 0.634 0.000 1
Pr3 0.178 0.367 0.500 1
Nd1 0.000 0.500 0.500 1
Nd2 0.085 0.776 0.500 1
Nd3 0.199 0.055 0.500 1
# VASP energy = -121.75 eV per cell
# Energy of formation = 2.03 kcal/mol of atoms
# Theoretical density = 6.58 g cm⁻³

---

3.
# PmPr2Nd (PBE-GGA, optimized geometry)
data_PmPr2Nd
_chemical_formula_sum 'Pm2 Pr4 Nd2'
_cell_length_a 5.757
_cell_length_b 3.605
_cell_length_c 13.687
_cell_angle_alpha 90.00
_cell_angle_beta 90.00
_cell_angle_gamma 90.00
_space_group_name_H-M_alt 'A m m 2'
_space_group_IT_number 38
loop_
_space_group_symop_operation_xyz
'x,y,z'
'-x,-y,z'
'-x,y,z'
'x,-y,z'
'x,y+1/2,z+1/2'
'-x,-y+1/2,z+1/2'
'-x,y+1/2,z+1/2'
'x,-y+1/2,z+1/2'
loop_
_atom_site_label
_atom_site_fract_x
_atom_site_fract_y
_atom_site_fract_z
_atom_site_occupancy
Pm1 0.000 0.000 0.000 1
Pr1 0.000 0.000 0.257 1
Pr2 0.500 0.000 0.383 1
Nd1 0.500 0.000 0.638 1
# VASP energy = -37.77 eV per cell
# Energy of formation = 1.10 kcal/mol of atoms
# Theoretical density = 6.68 g cm⁻³
# Relative energy among the computed polymorphs = 36.8 meV/atom

---

4.
# Pm2Pr3Nd6 (PBE-GGA, optimized geometry)
data_Pm2Pr3Nd6
_chemical_formula_sum 'Pm4 Pr6 Nd12'
_cell_length_a 4.895
_cell_length_b 4.895
_cell_length_c 34.026
_cell_angle_alpha 90.00
_cell_angle_beta 90.00
_cell_angle_gamma 90.00
_space_group_name_H-M_alt 'I 4/m m m'
_space_group_IT_number 139
_space_group_name_Hall '-I 4 2'
loop_
_atom_site_label
_atom_site_fract_x
_atom_site_fract_y
_atom_site_fract_z
_atom_site_occupancy
Pm1 0.000 0.000 0.045 1
Pr1 0.000 0.000 0.298 1
Pr2 0.000 0.000 0.500 1
Nd1 0.000 0.000 0.196 1
Nd2 0.000 0.500 0.119 1
# VASP energy = -99.33 eV per cell
# Energy of formation = 5.83 kcal/mol of atoms
# Theoretical density = 6.43 g cm⁻³
# Relative energy among the computed polymorphs = 243.4 meV/atom

---

5.
# Pm2Pr9Nd (PBE-GGA, optimized geometry)
data_Pm2Pr9Nd
_chemical_formula_sum 'Pm2 Pr9 Nd1'
_cell_length_a 5.232
_cell_length_b 5.232
_cell_length_c 15.691
_cell_angle_alpha 90.00
_cell_angle_beta 90.00
_cell_angle_gamma 90.00
_space_group_name_H-M_alt 'P 4/m m m'
_space_group_IT_number 123
_space_group_name_Hall '-P 4 2'
loop_
_atom_site_label
_atom_site_fract_x
_atom_site_fract_y
_atom_site_fract_z
_atom_site_occupancy
Pm1 0.000 0.000 0.167 1
Pr1 0.000 0.500 0.000 1
Pr2 0.000 0.500 0.333 1
Pr3 0.500 0.500 0.166 1
Pr4 0.500 0.500 0.500 1
Nd1 0.000 0.000 0.500 1
# VASP energy = -57.15 eV per cell
# Energy of formation = 0.27 kcal/mol of atoms
# Theoretical density = 6.58 g cm⁻³

---

6.
# PmPrNd3 (PBE-GGA, optimized geometry)
data_PmPrNd3
_chemical_formula_sum 'Pm4 Pr4 Nd12'
_cell_length_a 23.306
_cell_length_b 3.641
_cell_length_c 8.948
_cell_angle_alpha 90.00
_cell_angle_beta 110.00
_cell_angle_gamma 90.00
_space_group_name_H-M_alt 'C 1 2/m 1'
_space_group_IT_number 12
loop_
_space_group_symop_operation_xyz
'x,y,z'
'-x,-y,-z'
'-x,y,-z'
'x,-y,z'
'x+1/2,y+1/2,z'
'-x+1/2,-y+1/2,-z'
'-x+1/2,y+1/2,-z'
'x+1/2,-y+1/2,z'
loop_
_atom_site_label
_atom_site_fract_x
_atom_site_fract_y
_atom_site_fract_z
_atom_site_occupancy
Pm1 0.131 0.000 0.232 1
Pr1 0.079 0.500 0.523 1
Nd1 0.030 0.000 0.822 1
Nd2 0.177 0.500 0.937 1
Nd3 0.226 0.000 0.647 1
# VASP energy = -94.06 eV per cell
# Energy of formation = 1.46 kcal/mol of atoms
# Theoretical density = 6.69 g cm⁻³
# Relative energy among the computed polymorphs = 0.0 meV/atom

---

7.
# Pm7Pr2Nd2 (PBE-GGA, optimized geometry)
data_Pm7Pr2Nd2
_chemical_formula_sum 'Pm14 Pr4 Nd4'
_cell_length_a 10.168
_cell_length_b 9.544
_cell_length_c 8.391
_cell_angle_alpha 90.00
_cell_angle_beta 105.59
_cell_angle_gamma 90.00
_space_group_name_H-M_alt 'C 1 2/m 1'
_space_group_IT_number 12
loop_
_space_group_symop_operation_xyz
'x,y,z'
'-x,-y,-z'
'-x,y,-z'
'x,-y,z'
'x+1/2,y+1/2,z'
'-x+1/2,-y+1/2,-z'
'-x+1/2,y+1/2,-z'
'x+1/2,-y+1/2,z'
loop_
_atom_site_label
_atom_site_fract_x
_atom_site_fract_y
_atom_site_fract_z
_atom_site_occupancy
Pm1 0.000 0.000 0.000 1
Pm2 0.194 0.295 0.174 1
Pm3 0.211 0.500 0.519 1
Pr1 0.084 0.500 0.822 1
Nd1 0.000 0.197 0.500 1
# VASP energy = -101.02 eV per cell
# Energy of formation = 3.85 kcal/mol of atoms
# Theoretical density = 6.71 g cm⁻³
# Relative energy among the computed polymorphs = 30.0 meV/atom

---

8.
# Pm2Pr5Nd4 (PBE-GGA, optimized geometry)
data_Pm2Pr5Nd4
_chemical_formula_sum 'Pm4 Pr10 Nd8'
_cell_length_a 3.588
_cell_length_b 9.533
_cell_length_c 23.666
_cell_angle_alpha 90.00
_cell_angle_beta 90.00
_cell_angle_gamma 90.00
_space_group_name_H-M_alt 'I m m m'
_space_group_IT_number 71
_space_group_name_Hall '-I 2 2'
loop_
_atom_site_label
_atom_site_fract_x
_atom_site_fract_y
_atom_site_fract_z
_atom_site_occupancy
Pm1 0.000 0.000 0.230 1
Pr1 0.000 0.201 0.352 1
Pr2 0.000 0.500 0.000 1
Nd1 0.000 0.000 0.095 1
Nd2 0.000 0.300 0.500 1
# VASP energy = -100.52 eV per cell
# Energy of formation = 4.63 kcal/mol of atoms
# Theoretical density = 6.45 g cm⁻³
# Relative energy among the computed polymorphs = 78.6 meV/atom